[1]
VASP calculation (GGA-PBE) on a geometry-optimized BaAg2Sn structure.

Cell: 5.111 11.763 7.320 Å, 90.00 90.00 90.00°
Sites, in units of the cell vectors:
1 Ba 0.000 0.083 0.250
2 Ba 0.000 0.917 0.750
3 Ba 0.500 0.417 0.750
4 Ba 0.500 0.583 0.250
5 Ag 0.000 0.371 0.059
6 Ag 0.000 0.371 0.441
7 Ag 0.000 0.629 0.559
8 Ag 0.000 0.629 0.941
9 Ag 0.500 0.129 0.559
10 Ag 0.500 0.129 0.941
11 Ag 0.500 0.871 0.059
12 Ag 0.500 0.871 0.441
13 Sn 0.000 0.211 0.750
14 Sn 0.000 0.789 0.250
15 Sn 0.500 0.289 0.250
16 Sn 0.500 0.711 0.750

Properties
* crystal system: orthorhombic
* symmetry: Cmcm, No. 63
* ΔH_f (0 K): -0.287 eV/atom
* total magnetization: 0.000 μB per formula unit

=====

[2]
VASP calculation (GGA-PBE) on a geometry-optimized Ba3Ag2Sn9 structure.

Cell: 9.765 9.765 9.765 Å, 151.26 103.82 83.36°
Sites, in units of the cell vectors:
1 Ba 0.000 0.000 0.000
2 Ba 0.300 0.300 0.000
3 Ba 0.700 0.700 0.000
4 Ag 0.325 0.500 0.825
5 Ag 0.675 0.500 0.175
6 Sn 0.006 0.359 0.646
7 Sn 0.148 0.854 0.294
8 Sn 0.287 0.641 0.646
9 Sn 0.440 0.146 0.294
10 Sn 0.500 0.000 0.500
11 Sn 0.560 0.854 0.706
12 Sn 0.713 0.359 0.354
13 Sn 0.852 0.146 0.706
14 Sn 0.994 0.641 0.354

Properties
* crystal system: orthorhombic
* symmetry: Immm, No. 71
* ΔH_f (0 K): -0.345 eV/atom
* total magnetization: 0.000 μB per formula unit

=====

[3]
VASP calculation (GGA-PBE) on a geometry-optimized Ba2Ag3Sn5 structure.

Cell: 5.148 5.148 11.141 Å, 90.00 90.00 90.00°
Sites, in units of the cell vectors:
1 Ba 0.000 0.500 0.233
2 Ba 0.500 0.000 0.767
3 Ag 0.000 0.000 0.000
4 Ag 0.000 0.500 0.893
5 Ag 0.500 0.000 0.107
6 Sn 0.000 0.000 0.500
7 Sn 0.000 0.500 0.644
8 Sn 0.500 0.000 0.356
9 Sn 0.500 0.500 0.000
10 Sn 0.500 0.500 0.500

Properties
* crystal system: tetragonal
* symmetry: P-4m2, No. 115
* distance to the lowest polymorph of the same formula: 74.1 meV per atom
* ΔH_f (0 K): -0.331 eV/atom
* total magnetization: 0.000 μB per formula unit

=====

[4]
VASP calculation (GGA-PBE) on a geometry-optimized Ba3AgSn2 structure.

Cell: 5.216 10.851 9.118 Å, 90.00 106.61 90.00°
Sites, in units of the cell vectors:
1 Ba 0.129 0.250 0.256
2 Ba 0.356 0.058 0.712
3 Ba 0.356 0.442 0.712
4 Ba 0.644 0.558 0.288
5 Ba 0.644 0.942 0.288
6 Ba 0.871 0.750 0.744
7 Ag 0.072 0.750 0.143
8 Ag 0.928 0.250 0.857
9 Sn 0.000 0.000 0.000
10 Sn 0.000 0.500 0.000
11 Sn 0.235 0.750 0.473
12 Sn 0.765 0.250 0.527

Properties
* crystal system: monoclinic
* symmetry: P2_1/m, No. 11
* ΔH_f (0 K): -0.438 eV/atom
* total magnetization: 0.000 μB per formula unit

=====

[5]
VASP calculation (GGA-PBE) on a geometry-optimized Ba2Ag15Sn2 structure.

Cell: 7.524 7.524 7.524 Å, 83.66 83.66 83.66°
Sites, in units of the cell vectors:
1 Ba 0.155 0.155 0.155
2 Ba 0.845 0.845 0.845
3 Ag 0.000 0.500 0.500
4 Ag 0.157 0.157 0.656
5 Ag 0.157 0.656 0.157
6 Ag 0.194 0.500 0.806
7 Ag 0.194 0.806 0.500
8 Ag 0.344 0.843 0.843
9 Ag 0.500 0.000 0.500
10 Ag 0.500 0.194 0.806
11 Ag 0.500 0.500 0.000
12 Ag 0.500 0.806 0.194
13 Ag 0.656 0.157 0.157
14 Ag 0.806 0.194 0.500
15 Ag 0.806 0.500 0.194
16 Ag 0.843 0.344 0.843
17 Ag 0.843 0.843 0.344
18 Sn 0.401 0.401 0.401
19 Sn 0.599 0.599 0.599

Properties
* crystal system: trigonal
* symmetry: R-3m, No. 166
* ΔH_f (0 K): -0.101 eV/atom
* total magnetization: 0.000 μB per formula unit

=====

[6]
VASP calculation (GGA-PBE) on a geometry-optimized BaAg6Sn4 structure.

Cell: 8.006 8.006 4.710 Å, 90.00 90.00 120.00°
Sites, in units of the cell vectors:
1 Ba 0.000 0.000 0.000
2 Ag 0.209 0.417 0.500
3 Ag 0.209 0.791 0.500
4 Ag 0.540 0.080 0.000
5 Ag 0.540 0.460 0.000
6 Ag 0.583 0.791 0.500
7 Ag 0.920 0.460 0.000
8 Sn 0.333 0.667 0.000
9 Sn 0.396 0.198 0.500
10 Sn 0.802 0.198 0.500
11 Sn 0.802 0.604 0.500

Properties
* crystal system: hexagonal
* symmetry: P-6m2, No. 187
* ΔH_f (0 K): -0.123 eV/atom
* total magnetization: 0.000 μB per formula unit

=====

[7]
VASP calculation (GGA-PBE) on a geometry-optimized BaAg12Sn4 structure.

Cell: 8.272 8.272 8.272 Å, 109.47 109.47 109.47°
Sites, in units of the cell vectors:
1 Ba 0.000 0.000 0.000
2 Ag 0.147 0.503 0.356
3 Ag 0.147 0.792 0.644
4 Ag 0.208 0.356 0.853
5 Ag 0.356 0.147 0.503
6 Ag 0.356 0.853 0.208
7 Ag 0.497 0.644 0.853
8 Ag 0.503 0.356 0.147
9 Ag 0.644 0.147 0.792
10 Ag 0.644 0.853 0.497
11 Ag 0.792 0.644 0.147
12 Ag 0.853 0.208 0.356
13 Ag 0.853 0.497 0.644
14 Sn 0.000 0.000 0.500
15 Sn 0.000 0.500 0.000
16 Sn 0.500 0.000 0.000
17 Sn 0.500 0.500 0.500

Properties
* crystal system: cubic
* symmetry: Im-3, No. 204
* ΔH_f (0 K): 0.219 eV/atom
* total magnetization: 0.000 μB per formula unit

=====

[8]
VASP calculation (GGA-PBE) on a geometry-optimized BaAg2Sn structure.

Cell: 9.489 7.324 6.424 Å, 90.00 90.00 90.00°
Sites, in units of the cell vectors:
1 Ba 0.047 0.250 0.149
2 Ba 0.453 0.750 0.649
3 Ba 0.547 0.250 0.351
4 Ba 0.953 0.750 0.851
5 Ag 0.182 0.057 0.606
6 Ag 0.182 0.443 0.606
7 Ag 0.318 0.557 0.106
8 Ag 0.318 0.943 0.106
9 Ag 0.682 0.057 0.894
10 Ag 0.682 0.443 0.894
11 Ag 0.818 0.557 0.394
12 Ag 0.818 0.943 0.394
13 Sn 0.113 0.750 0.353
14 Sn 0.387 0.250 0.853
15 Sn 0.613 0.750 0.147
16 Sn 0.887 0.250 0.647

Properties
* crystal system: orthorhombic
* symmetry: Pnma, No. 62
* ΔH_f (0 K): -0.340 eV/atom
* total magnetization: 0.000 μB per formula unit